This record from the Alexandria database describes an optimized crystal structure of Pr5Er3Tm2. The functional is PBE-GGA.

Computed properties:
N(E_F) in states/eV/cell: 65.81
Formation energy in meV per atom: 172
Raw total energy in eV per atom: -4.480
Density in Mg/m³: 7.551

abc: 10.7247 14.9052 10.0473
angles: 90.00 122.24 90.00
Space group C2/c (No. 15)
Symmetry-distinct sites (fractional):
Pr  0.0000  0.0187  0.2500 (multiplicity 4)
Pr  0.0000  0.2286  0.2500 (multiplicity 4)
Pr  0.0000  0.4779  0.7500 (multiplicity 4)
Pr  0.2471  0.3685  0.2408 (multiplicity 8)
Er  0.0000  0.2727  0.7500 (multiplicity 4)
Er  0.1551  0.3747  0.5585 (multiplicity 8)
Tm  0.1528  0.1297  0.0583 (multiplicity 8)

=====

This record from the Alexandria database describes an optimized crystal structure of CdPbCl. The functional is PBE-GGA.

Computed properties:
N(E_F) in states/eV/cell: 1.23
Raw total energy in eV per atom: -2.426
Density in Mg/m³: 7.205
E_form (uncorrected) in meV per atom: -269

abc: 5.2806 5.2806 3.3886
angles: 90.00 90.00 120.00
Space group P3m1 (No. 156)
Symmetry-distinct sites (fractional):
Cd  0.0000  0.0000  0.0000 (multiplicity 1)
Pb  0.3333  0.6667  0.5723 (multiplicity 1)
Cl  0.6667  0.3333  0.4457 (multiplicity 1)

=====

This record from the Alexandria database describes an optimized crystal structure of Rb2BaIrO6. The functional is PBE-GGA.

Computed properties:
N(E_F) in states/eV/cell: 22.33
Raw total energy in eV per atom: -5.579
Density in Mg/m³: 5.376
E_form (uncorrected) in meV per atom: -1332

abc: 9.0324 9.0324 9.0324
angles: 90.00 90.00 90.00
Space group Fm-3m (No. 225)
Symmetry-distinct sites (fractional):
Rb  0.2500  0.2500  0.2500 (multiplicity 8)
Ba  0.0000  0.0000  0.0000 (multiplicity 4)
Ir  0.0000  0.0000  0.5000 (multiplicity 4)
O  0.0000  0.0000  0.2904 (multiplicity 24)

=====

This record from the Alexandria database describes an optimized crystal structure of TcBiPbCl2. The functional is PBE-GGA.

Computed properties:
N(E_F) in states/eV/cell: 2.84
Raw total energy in eV per atom: -3.691
Density in Mg/m³: 5.413
E_form (uncorrected) in meV per atom: 639

abc: 5.3120 5.3120 6.3612
angles: 90.00 90.00 90.00
Space group P4/mmm (No. 123)
Symmetry-distinct sites (fractional):
Tc  0.0000  0.0000  0.0000 (multiplicity 1)
Bi  0.5000  0.5000  0.0000 (multiplicity 1)
Pb  0.5000  0.5000  0.5000 (multiplicity 1)
Cl  0.0000  0.5000  0.5000 (multiplicity 2)

=====

This record from the Alexandria database describes an optimized crystal structure of Pm8Pt2Rh. The functional is PBE-GGA.

Computed properties:
N(E_F) in states/eV/cell: 23.94
Formation energy in meV per atom: -561
Raw total energy in eV per atom: -5.782
Density in Mg/m³: 8.893

abc: 17.7004 5.0669 6.9718
angles: 90.00 99.15 90.00
Space group C2/m (No. 12)
Symmetry-distinct sites (fractional):
Pm  0.0330  0.0000  0.2793 (multiplicity 4)
Pm  0.0881  0.5000  0.9426 (multiplicity 4)
Pm  0.1632  0.5000  0.4671 (multiplicity 4)
Pm  0.2040  0.0000  0.8324 (multiplicity 4)
Pt  0.2004  0.0000  0.2407 (multiplicity 4)
Rh  0.0000  0.5000  0.5000 (multiplicity 2)

=====

This record from the Alexandria database describes an optimized crystal structure of TaSi2Ir. The functional is PBE-GGA.

Computed properties:
N(E_F) in states/eV/cell: 19.75
Raw total energy in eV per atom: -8.074
Density in Mg/m³: 12.374
E_form (uncorrected) in meV per atom: -184

abc: 6.1310 6.1310 6.1310
angles: 90.00 90.00 90.00
Space group Fm-3m (No. 225)
Symmetry-distinct sites (fractional):
Ta  0.0000  0.0000  0.0000 (multiplicity 4)
Si  0.2500  0.2500  0.2500 (multiplicity 8)
Ir  0.0000  0.0000  0.5000 (multiplicity 4)

=====

This record from the Alexandria database describes an optimized crystal structure of Tm8In2Ir3. The functional is PBE-GGA.

Computed properties:
N(E_F) in states/eV/cell: 21.25
Formation energy in meV per atom: -554
Raw total energy in eV per atom: -5.772
Density in Mg/m³: 10.469

abc: 9.7504 14.4205 4.8685
angles: 90.00 90.00 90.00
Space group Cmmm (No. 65)
Symmetry-distinct sites (fractional):
Tm  0.0000  0.1109  0.0000 (multiplicity 4)
Tm  0.0000  0.3863  0.0000 (multiplicity 4)
Tm  0.2472  0.3875  0.5000 (multiplicity 8)
In  0.0000  0.2451  0.5000 (multiplicity 4)
Ir  0.0000  0.5000  0.5000 (multiplicity 2)
Ir  0.2479  0.0000  0.0000 (multiplicity 4)

=====

This record from the Alexandria database describes an optimized crystal structure of Ac3GaPd8. The functional is PBE-GGA.

Computed properties:
N(E_F) in states/eV/cell: 5.19
Formation energy in meV per atom: -700
Raw total energy in eV per atom: -5.441
Density in Mg/m³: 10.517

abc: 5.6527 5.6527 9.1409
angles: 90.00 90.00 120.00
Space group P3m1 (No. 156)
Symmetry-distinct sites (fractional):
Ac  0.0000  0.0000  0.0000 (multiplicity 1)
Ac  0.0000  0.0000  0.3953 (multiplicity 1)
Ac  0.6667  0.3333  0.5936 (multiplicity 1)
Ga  0.6667  0.3333  0.9877 (multiplicity 1)
Pd  0.1668  0.3337  0.7134 (multiplicity 3)
Pd  0.3333  0.6667  0.4629 (multiplicity 1)
Pd  0.3333  0.6667  0.9633 (multiplicity 1)
Pd  0.5004  0.0008  0.2154 (multiplicity 3)

=====

This record from the Alexandria database describes an optimized crystal structure of SiHgTe2. The functional is PBE-GGA.

Computed properties:
N(E_F) in states/eV/cell: 4.32
Raw total energy in eV per atom: -2.945
Density in Mg/m³: 5.781
E_form (uncorrected) in meV per atom: 58

abc: 3.7802 3.7802 33.6920
angles: 90.00 90.00 120.00
Space group R-3m (No. 166, hexagonal axes)
Symmetry-distinct sites (fractional):
Si  0.0000  0.0000  0.0000 (multiplicity 3)
Hg  0.0000  0.0000  0.5000 (multiplicity 3)
Te  0.0000  0.0000  0.3818 (multiplicity 6)

=====

This record from the Alexandria database describes an optimized crystal structure of KCdSbI2. The functional is PBE-GGA.

Computed properties:
N(E_F) in states/eV/cell: 1.79
Raw total energy in eV per atom: -2.182
Density in Mg/m³: 3.950
E_form (uncorrected) in meV per atom: -335

abc: 6.2814 6.2814 5.6153
angles: 90.00 90.00 90.00
Space group P4/mmm (No. 123)
Symmetry-distinct sites (fractional):
K  0.0000  0.0000  0.0000 (multiplicity 1)
Cd  0.5000  0.5000  0.5000 (multiplicity 1)
Sb  0.5000  0.5000  0.0000 (multiplicity 1)
I  0.0000  0.5000  0.5000 (multiplicity 2)

=====

This record from the Alexandria database describes an optimized crystal structure of KCd2Au. The functional is PBE-GGA.

Computed properties:
N(E_F) in states/eV/cell: 5.97
Formation energy in meV per atom: -193
Raw total energy in eV per atom: -1.744
Density in Mg/m³: 6.161

abc: 4.8431 4.8431 18.3447
angles: 90.00 90.00 120.00
Space group R-3m (No. 166, hexagonal axes)
Symmetry-distinct sites (fractional):
K  0.0000  0.0000  0.0000 (multiplicity 3)
Cd  0.0000  0.0000  0.1988 (multiplicity 6)
Au  0.0000  0.0000  0.5000 (multiplicity 3)

=====

This record from the Alexandria database describes an optimized crystal structure of Pm4Tm2Th. The functional is PBE-GGA.

Computed properties:
N(E_F) in states/eV/cell: 49.88
Formation energy in meV per atom: 308
Raw total energy in eV per atom: -4.745
Density in Mg/m³: 8.086

abc: 6.7747 11.5412 12.0807
angles: 90.00 90.00 90.00
Space group Imma (No. 74)
Symmetry-distinct sites (fractional):
Pm  0.0000  0.0027  0.1556 (multiplicity 8)
Pm  0.2233  0.2500  0.9872 (multiplicity 8)
Tm  0.0000  0.0000  0.5000 (multiplicity 4)
Tm  0.0000  0.2500  0.7210 (multiplicity 4)
Th  0.2500  0.2500  0.2500 (multiplicity 4)

=====

This record from the Alexandria database describes an optimized crystal structure of CeB2Mo. The functional is PBE-GGA.

Computed properties:
N(E_F) in states/eV/cell: 9.85
Formation energy in meV per atom: -44
Raw total energy in eV per atom: -7.574
Density in Mg/m³: 7.503

abc: 3.2834 3.2834 18.3249
angles: 90.00 90.00 120.00
Space group R-3m (No. 166, hexagonal axes)
Symmetry-distinct sites (fractional):
Ce  0.0000  0.0000  0.0000 (multiplicity 3)
B  0.0000  0.0000  0.2330 (multiplicity 6)
Mo  0.0000  0.0000  0.5000 (multiplicity 3)

=====

This record from the Alexandria database describes an optimized crystal structure of SiAsPRh2C. The functional is PBE-GGA.

Computed properties:
N(E_F) in states/eV/cell: 1.88
Raw total energy in eV per atom: -6.529
Density in Mg/m³: 6.496
E_form (uncorrected) in meV per atom: 39

abc: 3.1164 4.7625 6.5909
angles: 102.32 95.73 107.14
Space group P1 (No. 1)
Symmetry-distinct sites (fractional):
Si  0.0000  0.0000  0.0000 (multiplicity 1)
As  0.4483  0.9514  0.5774 (multiplicity 1)
P  0.7834  0.3414  0.4166 (multiplicity 1)
Rh  0.1558  0.3574  0.7772 (multiplicity 1)
Rh  0.3160  0.5129  0.2193 (multiplicity 1)
C  0.3964  0.7764  0.9941 (multiplicity 1)